DFT (GGA-PBE) results for LiGd2Ho after structural relaxation.

Lattice parameters (Å, degrees): 3.471 3.471 12.275 81.87 81.87 60.00
Atoms (fractional coordinates):
Gd (0.089, 0.089, 0.734)
Gd (0.911, 0.911, 0.266)
Ho (0.500, 0.500, 0.500)
Li (0.000, 0.000, 0.000)

Summary:
Energy above the most stable polymorph in this dataset in meV/atom: 97
Energy in eV per atom: -8.50
Space-group type: R-3m (166)
Energy relative to the elements in eV/atom: 0.167


DFT (GGA-PBE) results for LiGdHo2 after structural relaxation.

Lattice parameters (Å, degrees): 3.444 3.444 12.281 81.94 81.94 60.00
Atoms (fractional coordinates):
Gd (0.500, 0.500, 0.500)
Ho (0.088, 0.088, 0.735)
Ho (0.912, 0.912, 0.265)
Li (0.000, 0.000, 0.000)

Summary:
Energy above the most stable polymorph in this dataset in meV/atom: 112
Energy in eV per atom: -6.09
Space-group type: R-3m (166)
Energy relative to the elements in eV/atom: 0.196


DFT (GGA-PBE) results for LiGdHo2 after structural relaxation.

Lattice parameters (Å, degrees): 3.591 3.591 8.822 90.00 90.00 90.00
Atoms (fractional coordinates):
Gd (0.500, 0.500, 0.500)
Ho (0.000, 0.000, 0.780)
Ho (0.000, 0.000, 0.220)
Li (0.500, 0.500, 0.000)

Summary:
Energy above the most stable polymorph in this dataset in meV/atom: 0
Energy in eV per atom: -6.20
Space-group type: P4/mmm (123)
Energy relative to the elements in eV/atom: 0.084


DFT (GGA-PBE) results for LiGdHo2 after structural relaxation.

Lattice parameters (Å, degrees): 5.464 5.464 5.464 60.00 60.00 60.00
Atoms (fractional coordinates):
Gd (0.000, 0.000, 0.000)
Ho (0.250, 0.250, 0.250)
Ho (0.750, 0.750, 0.750)
Li (0.500, 0.500, 0.500)

Summary:
Energy above the most stable polymorph in this dataset in meV/atom: 109
Energy in eV per atom: -6.09
Space-group type: Fm-3m (225)
Energy relative to the elements in eV/atom: 0.193


DFT (GGA-PBE) results for LiGd2Ho after structural relaxation.

Lattice parameters (Å, degrees): 3.630 3.630 8.797 90.00 90.00 90.00
Atoms (fractional coordinates):
Gd (0.000, 0.000, 0.775)
Gd (0.000, 0.000, 0.225)
Ho (0.500, 0.500, 0.500)
Li (0.500, 0.500, 0.000)

Summary:
Energy above the most stable polymorph in this dataset in meV/atom: 0
Energy in eV per atom: -8.59
Space-group type: P4/mmm (123)
Energy relative to the elements in eV/atom: 0.070


DFT (GGA-PBE) results for LiGdHoMn after structural relaxation.

Lattice parameters (Å, degrees): 5.032 5.032 5.032 60.00 60.00 60.00
Atoms (fractional coordinates):
Gd (0.000, 0.000, 0.000)
Ho (0.500, 0.500, 0.500)
Mn (0.250, 0.250, 0.250)
Li (0.750, 0.750, 0.750)

Summary:
Energy in eV per atom: -7.33
Space-group type: F-43m (216)
Energy relative to the elements in eV/atom: 0.110


DFT (GGA-PBE) results for LiGdHoOs after structural relaxation.

Lattice parameters (Å, degrees): 4.904 4.904 4.904 60.00 60.00 60.00
Atoms (fractional coordinates):
Gd (0.250, 0.250, 0.250)
Os (0.500, 0.500, 0.500)
Ho (0.750, 0.750, 0.750)
Li (0.000, 0.000, 0.000)

Summary:
Energy in eV per atom: -8.17
Space-group type: F-43m (216)
Energy relative to the elements in eV/atom: -0.218


DFT (GGA-PBE) results for LiGdHoPb after structural relaxation.

Lattice parameters (Å, degrees): 5.314 5.314 5.314 60.00 60.00 60.00
Atoms (fractional coordinates):
Pb (0.250, 0.250, 0.250)
Gd (0.000, 0.000, 0.000)
Ho (0.500, 0.500, 0.500)
Li (0.750, 0.750, 0.750)

Summary:
Energy in eV per atom: -6.34
Space-group type: F-43m (216)
Energy relative to the elements in eV/atom: -0.274


DFT (GGA-PBE) results for LiPrGdHo after structural relaxation.

Lattice parameters (Å, degrees): 5.557 5.557 5.557 60.00 60.00 60.00
Atoms (fractional coordinates):
Pr (0.250, 0.250, 0.250)
Gd (0.750, 0.750, 0.750)
Ho (0.500, 0.500, 0.500)
Li (0.000, 0.000, 0.000)

Summary:
Energy in eV per atom: -6.18
Space-group type: F-43m (216)
Energy relative to the elements in eV/atom: 0.159


DFT (GGA-PBE) results for LiGdHoRe after structural relaxation.

Lattice parameters (Å, degrees): 4.927 4.927 4.927 60.00 60.00 60.00
Atoms (fractional coordinates):
Re (0.000, 0.000, 0.000)
Gd (0.750, 0.750, 0.750)
Ho (0.250, 0.250, 0.250)
Li (0.500, 0.500, 0.500)

Summary:
Energy in eV per atom: -8.18
Space-group type: F-43m (216)
Energy relative to the elements in eV/atom: 0.071


DFT (GGA-PBE) results for LiGdHoRh after structural relaxation.

Lattice parameters (Å, degrees): 4.945 4.945 4.945 60.00 60.00 60.00
Atoms (fractional coordinates):
Gd (0.000, 0.000, 0.000)
Rh (0.750, 0.750, 0.750)
Ho (0.500, 0.500, 0.500)
Li (0.250, 0.250, 0.250)

Summary:
Energy in eV per atom: -7.45
Space-group type: F-43m (216)
Energy relative to the elements in eV/atom: -0.467


DFT (GGA-PBE) results for LiGdHoRu after structural relaxation.

Lattice parameters (Å, degrees): 4.920 4.920 4.920 60.00 60.00 60.00
Atoms (fractional coordinates):
Ru (0.000, 0.000, 0.000)
Gd (0.750, 0.750, 0.750)
Ho (0.250, 0.250, 0.250)
Li (0.500, 0.500, 0.500)

Summary:
Energy in eV per atom: -7.73
Space-group type: F-43m (216)
Energy relative to the elements in eV/atom: -0.265


DFT (GGA-PBE) results for LiGdHoSi after structural relaxation.

Lattice parameters (Å, degrees): 4.980 4.980 4.980 60.00 60.00 60.00
Atoms (fractional coordinates):
Si (0.750, 0.750, 0.750)
Gd (0.000, 0.000, 0.000)
Ho (0.500, 0.500, 0.500)
Li (0.250, 0.250, 0.250)

Summary:
Energy in eV per atom: -6.85
ΔE_f (raw) in eV per atom: -0.3528
Space-group type: F-43m (216)


DFT (GGA-PBE) results for LiTbGdHo after structural relaxation.

Lattice parameters (Å, degrees): 5.482 5.482 5.482 60.00 60.00 60.00
Atoms (fractional coordinates):
Gd (0.500, 0.500, 0.500)
Tb (0.750, 0.750, 0.750)
Ho (0.250, 0.250, 0.250)
Li (0.000, 0.000, 0.000)

Summary:
Energy in eV per atom: -6.11
Space-group type: F-43m (216)
Energy relative to the elements in eV/atom: 0.190


DFT (GGA-PBE) results for LiGdHoTc after structural relaxation.

Lattice parameters (Å, degrees): 4.938 4.938 4.938 60.00 60.00 60.00
Atoms (fractional coordinates):
Gd (0.250, 0.250, 0.250)
Li (0.000, 0.000, 0.000)
Ho (0.750, 0.750, 0.750)
Tc (0.500, 0.500, 0.500)

Summary:
Energy in eV per atom: -7.76
Space-group type: F-43m (216)
Energy relative to the elements in eV/atom: -0.026


DFT (GGA-PBE) results for LiGdHoTl after structural relaxation.

Lattice parameters (Å, degrees): 5.293 5.293 5.293 60.00 60.00 60.00
Atoms (fractional coordinates):
Tl (0.500, 0.500, 0.500)
Gd (0.250, 0.250, 0.250)
Ho (0.750, 0.750, 0.750)
Li (0.000, 0.000, 0.000)

Summary:
Energy in eV per atom: -5.94
Space-group type: F-43m (216)
Energy relative to the elements in eV/atom: -0.202


DFT (GGA-PBE) results for LiGdHoZn after structural relaxation.

Lattice parameters (Å, degrees): 5.114 5.114 5.114 60.00 60.00 60.00
Atoms (fractional coordinates):
Zn (0.000, 0.000, 0.000)
Gd (0.250, 0.250, 0.250)
Ho (0.750, 0.750, 0.750)
Li (0.500, 0.500, 0.500)

Summary:
Energy in eV per atom: -5.58
Space-group type: F-43m (216)
Energy relative to the elements in eV/atom: -0.123


DFT (GGA-PBE) results for GdHo2Lu after structural relaxation.

Lattice parameters (Å, degrees): 5.621 5.621 5.621 60.00 60.00 60.00
Atoms (fractional coordinates):
Gd (0.000, 0.000, 0.000)
Lu (0.500, 0.500, 0.500)
Ho (0.250, 0.250, 0.250)
Ho (0.750, 0.750, 0.750)

Summary:
Energy above the most stable polymorph in this dataset in meV/atom: 100
Energy in eV per atom: -6.81
Space-group type: Fm-3m (225)
Energy relative to the elements in eV/atom: 0.125


DFT (GGA-PBE) results for GdHoLu after structural relaxation.

Lattice parameters (Å, degrees): 3.522 3.522 7.871 102.93 102.93 90.00
Atoms (fractional coordinates):
Gd (0.333, 0.333, 0.666)
Lu (0.665, 0.665, 0.330)
Ho (0.002, 0.002, 0.005)

Summary:
Energy in eV per atom: -7.70
Space-group type: I4mm (107)
Energy relative to the elements in eV/atom: 0.029


DFT (GGA-PBE) results for GdHo2Lu after structural relaxation.

Lattice parameters (Å, degrees): 4.993 4.968 4.968 90.00 90.00 90.00
Atoms (fractional coordinates):
Gd (0.500, 0.500, 0.500)
Lu (0.500, 0.000, 0.000)
Ho (0.000, 0.000, 0.500)
Ho (0.000, 0.500, 0.000)

Summary:
Energy above the most stable polymorph in this dataset in meV/atom: 0
Energy in eV per atom: -6.91
Space-group type: P4/mmm (123)
Energy relative to the elements in eV/atom: 0.025


What did we get for magnetization? Answer: 15.1, 7.4, 7.3, 7.2, 15.1, 4.6, 7.2, 8.0, 7.3, 7.0, 7.1, 7.2, 7.3, 7.2, 7.1, 7.7, 7.8, 8.9, 7.3, 7.1 μB/cell, in the order shown.